[1]
Computed, not measured: a relaxed structure of EuIn4Au2 at the PBE-GGA level of DFT.

Cell lengths 18.898, 4.716, 7.558 Å; angles 90.00, 90.00, 90.00 degrees
Space group Pnma (No. 62)
Symmetry-distinct sites (fractional):
Eu (0.141, 0.250, 0.028) [4 per cell]
In (0.035, 0.750, 0.852) [4 per cell]
In (0.068, 0.250, 0.491) [4 per cell]
In (0.186, 0.750, 0.328) [4 per cell]
In (0.189, 0.750, 0.735) [4 per cell]
Au (0.040, 0.750, 0.243) [4 per cell]
Au (0.219, 0.250, 0.534) [4 per cell]

Calculated values
raw total energy	-4.40	eV/atom
mass density	9913	kg/m3
formation energy from the elements	-2.98	eV per formula unit

[2]
Computed, not measured: a relaxed structure of LaEuInAu at the PBE-GGA level of DFT.

Cell lengths 7.723, 7.723, 7.723 Å; angles 90.00, 90.00, 90.00 degrees
Space group F-43m (No. 216)
Symmetry-distinct sites (fractional):
La (0.000, 0.000, 0.000) [4 per cell]
Eu (0.000, 0.000, 0.500) [4 per cell]
In (0.250, 0.250, 0.750) [4 per cell]
Au (0.250, 0.250, 0.250) [4 per cell]

Calculated values
raw total energy	-5.90	eV/atom
mass density	8689	kg/m3
formation energy from the elements	-2.38	eV per formula unit

[3]
Computed, not measured: a relaxed structure of LiEuInAu at the PBE-GGA level of DFT.

Cell lengths 7.109, 7.109, 7.109 Å; angles 90.00, 90.00, 90.00 degrees
Space group F-43m (No. 216)
Symmetry-distinct sites (fractional):
Li (0.000, 0.000, 0.000) [4 per cell]
Eu (0.250, 0.250, 0.250) [4 per cell]
In (0.250, 0.250, 0.750) [4 per cell]
Au (0.000, 0.000, 0.500) [4 per cell]

Calculated values
raw total energy	-5.04	eV/atom
mass density	8702	kg/m3
formation energy from the elements	-1.96	eV per formula unit

[4]
Computed, not measured: a relaxed structure of NdEuInAu at the PBE-GGA level of DFT.

Cell lengths 7.647, 7.647, 7.647 Å; angles 90.00, 90.00, 90.00 degrees
Space group F-43m (No. 216)
Symmetry-distinct sites (fractional):
Nd (0.000, 0.000, 0.000) [4 per cell]
Eu (0.000, 0.000, 0.500) [4 per cell]
In (0.250, 0.250, 0.250) [4 per cell]
Au (0.250, 0.250, 0.750) [4 per cell]

Calculated values
raw total energy	-5.83	eV/atom
mass density	9032	kg/m3
formation energy from the elements	-2.28	eV per formula unit

[5]
Computed, not measured: a relaxed structure of PrEuInAu at the PBE-GGA level of DFT.

Cell lengths 7.677, 7.677, 7.677 Å; angles 90.00, 90.00, 90.00 degrees
Space group F-43m (No. 216)
Symmetry-distinct sites (fractional):
Pr (0.000, 0.000, 0.000) [4 per cell]
Eu (0.000, 0.000, 0.500) [4 per cell]
In (0.250, 0.250, 0.250) [4 per cell]
Au (0.250, 0.250, 0.750) [4 per cell]

Calculated values
raw total energy	-5.84	eV/atom
mass density	8876	kg/m3
formation energy from the elements	-2.27	eV per formula unit

[6]
Computed, not measured: a relaxed structure of EuInRhAu at the PBE-GGA level of DFT.

Cell lengths 6.956, 6.956, 6.956 Å; angles 90.00, 90.00, 90.00 degrees
Space group F-43m (No. 216)
Symmetry-distinct sites (fractional):
Eu (0.000, 0.000, 0.000) [4 per cell]
In (0.000, 0.000, 0.500) [4 per cell]
Rh (0.250, 0.250, 0.250) [4 per cell]
Au (0.250, 0.250, 0.750) [4 per cell]

Calculated values
raw total energy	-6.31	eV/atom
mass density	11183	kg/m3
formation energy from the elements	-1.62	eV per formula unit

[7]
Computed, not measured: a relaxed structure of EuInSbAu at the PBE-GGA level of DFT.

Cell lengths 7.499, 7.499, 7.499 Å; angles 90.00, 90.00, 90.00 degrees
Space group F-43m (No. 216)
Symmetry-distinct sites (fractional):
Eu (0.000, 0.000, 0.000) [4 per cell]
In (0.000, 0.000, 0.500) [4 per cell]
Sb (0.250, 0.250, 0.750) [4 per cell]
Au (0.250, 0.250, 0.250) [4 per cell]

Calculated values
raw total energy	-5.56	eV/atom
mass density	9222	kg/m3

[8]
Computed, not measured: a relaxed structure of SrEuInAu at the PBE-GGA level of DFT.

Cell lengths 7.798, 7.798, 7.798 Å; angles 90.00, 90.00, 90.00 degrees
Space group F-43m (No. 216)
Symmetry-distinct sites (fractional):
Sr (0.000, 0.000, 0.000) [4 per cell]
Eu (0.000, 0.000, 0.500) [4 per cell]
In (0.250, 0.250, 0.250) [4 per cell]
Au (0.250, 0.250, 0.750) [4 per cell]

Calculated values
raw total energy	-5.03	eV/atom
mass density	7725	kg/m3
formation energy from the elements	-2.14	eV per formula unit

[9]
Computed, not measured: a relaxed structure of EuTmInAu at the PBE-GGA level of DFT.

Cell lengths 7.472, 7.472, 7.472 Å; angles 90.00, 90.00, 90.00 degrees
Space group F-43m (No. 216)
Symmetry-distinct sites (fractional):
Eu (0.000, 0.000, 0.000) [4 per cell]
Tm (0.000, 0.000, 0.500) [4 per cell]
In (0.250, 0.250, 0.750) [4 per cell]
Au (0.250, 0.250, 0.250) [4 per cell]

Calculated values
raw total energy	-5.75	eV/atom
mass density	10074	kg/m3
formation energy from the elements	-2.25	eV per formula unit

[10]
Computed, not measured: a relaxed structure of Eu2IrAu at the PBE-GGA level of DFT.

Cell lengths 3.558, 3.558, 7.517 Å; angles 90.00, 90.00, 90.00 degrees
Space group P4/mmm (No. 123)
Symmetry-distinct sites (fractional):
Eu (0.000, 0.000, 0.228) [2 per cell]
Ir (0.500, 0.500, 0.000) [1 per cell]
Au (0.500, 0.500, 0.500) [1 per cell]

Calculated values
raw total energy	-8.70	eV/atom
mass density	12095	kg/m3
formation energy from the elements	-2.12	eV per formula unit

[11]
Computed, not measured: a relaxed structure of LaEuIrAu at the PBE-GGA level of DFT.

Cell lengths 7.287, 7.287, 7.287 Å; angles 90.00, 90.00, 90.00 degrees
Space group F-43m (No. 216)
Symmetry-distinct sites (fractional):
La (0.000, 0.000, 0.000) [4 per cell]
Eu (0.000, 0.000, 0.500) [4 per cell]
Ir (0.250, 0.250, 0.250) [4 per cell]
Au (0.250, 0.250, 0.750) [4 per cell]

Calculated values
raw total energy	-7.47	eV/atom
mass density	11675	kg/m3
formation energy from the elements	-2.55	eV per formula unit

[12]
Computed, not measured: a relaxed structure of EuLuIrAu at the PBE-GGA level of DFT.

Cell lengths 7.031, 7.031, 7.031 Å; angles 90.00, 90.00, 90.00 degrees
Space group F-43m (No. 216)
Symmetry-distinct sites (fractional):
Eu (0.000, 0.000, 0.000) [4 per cell]
Lu (0.000, 0.000, 0.500) [4 per cell]
Ir (0.250, 0.250, 0.750) [4 per cell]
Au (0.250, 0.250, 0.250) [4 per cell]

Calculated values
raw total energy	-7.39	eV/atom
mass density	13684	kg/m3
formation energy from the elements	-2.63	eV per formula unit

[13]
Computed, not measured: a relaxed structure of NdEuIrAu at the PBE-GGA level of DFT.

Cell lengths 7.230, 7.230, 7.230 Å; angles 90.00, 90.00, 90.00 degrees
Space group F-43m (No. 216)
Symmetry-distinct sites (fractional):
Nd (0.000, 0.000, 0.000) [4 per cell]
Eu (0.000, 0.000, 0.500) [4 per cell]
Ir (0.250, 0.250, 0.250) [4 per cell]
Au (0.250, 0.250, 0.750) [4 per cell]

Calculated values
raw total energy	-7.40	eV/atom
mass density	12045	kg/m3
formation energy from the elements	-2.41	eV per formula unit

[14]
Computed, not measured: a relaxed structure of PmEuIrAu at the PBE-GGA level of DFT.

Cell lengths 7.202, 7.202, 7.202 Å; angles 90.00, 90.00, 90.00 degrees
Space group F-43m (No. 216)
Symmetry-distinct sites (fractional):
Pm (0.000, 0.000, 0.000) [4 per cell]
Eu (0.000, 0.000, 0.500) [4 per cell]
Ir (0.250, 0.250, 0.750) [4 per cell]
Au (0.250, 0.250, 0.250) [4 per cell]

Calculated values
raw total energy	-7.41	eV/atom
mass density	12198	kg/m3
formation energy from the elements	-2.46	eV per formula unit

[15]
Computed, not measured: a relaxed structure of EuPuIrAu at the PBE-GGA level of DFT.

Cell lengths 7.133, 7.133, 7.133 Å; angles 90.00, 90.00, 90.00 degrees
Space group F-43m (No. 216)
Symmetry-distinct sites (fractional):
Eu (0.000, 0.000, 0.000) [4 per cell]
Pu (0.000, 0.000, 0.500) [4 per cell]
Ir (0.250, 0.250, 0.250) [4 per cell]
Au (0.250, 0.250, 0.750) [4 per cell]

Calculated values
raw total energy	-9.58	eV/atom
mass density	14372	kg/m3
formation energy from the elements	-1.57	eV per formula unit

[16]
Computed, not measured: a relaxed structure of SmEuIrAu at the PBE-GGA level of DFT.

Cell lengths 7.183, 7.183, 7.183 Å; angles 90.00, 90.00, 90.00 degrees
Space group F-43m (No. 216)
Symmetry-distinct sites (fractional):
Sm (0.000, 0.000, 0.000) [4 per cell]
Eu (0.000, 0.000, 0.500) [4 per cell]
Ir (0.250, 0.250, 0.250) [4 per cell]
Au (0.250, 0.250, 0.750) [4 per cell]

Calculated values
raw total energy	-7.41	eV/atom
mass density	12393	kg/m3
formation energy from the elements	-2.49	eV per formula unit

[17]
Computed, not measured: a relaxed structure of EuYIrAu at the PBE-GGA level of DFT.

Cell lengths 7.116, 7.116, 7.116 Å; angles 90.00, 90.00, 90.00 degrees
Space group F-43m (No. 216)
Symmetry-distinct sites (fractional):
Eu (0.000, 0.000, 0.000) [4 per cell]
Y (0.000, 0.000, 0.500) [4 per cell]
Ir (0.250, 0.250, 0.250) [4 per cell]
Au (0.250, 0.250, 0.750) [4 per cell]

Calculated values
raw total energy	-7.86	eV/atom
mass density	11613	kg/m3
formation energy from the elements	-2.57	eV per formula unit

[18]
Computed, not measured: a relaxed structure of KEu2Au at the PBE-GGA level of DFT.

Cell lengths 3.851, 3.851, 10.656 Å; angles 90.00, 90.00, 90.00 degrees
Space group P4/mmm (No. 123)
Symmetry-distinct sites (fractional):
K (0.000, 0.000, 0.000) [1 per cell]
Eu (0.500, 0.500, 0.337) [2 per cell]
Au (0.000, 0.000, 0.500) [1 per cell]

Calculated values
raw total energy	-6.56	eV/atom
mass density	5675	kg/m3
formation energy from the elements	-1.33	eV per formula unit

[19]
Computed, not measured: a relaxed structure of KEuAu at the PBE-GGA level of DFT.

Cell lengths 3.901, 3.901, 14.916 Å; angles 90.00, 90.00, 90.00 degrees
Space group I4mm (No. 107)
Symmetry-distinct sites (fractional):
K (0.000, 0.000, 0.000) [2 per cell]
Eu (0.000, 0.000, 0.255) [2 per cell]
Au (0.000, 0.000, 0.656) [2 per cell]

Calculated values
raw total energy	-5.23	eV/atom
mass density	5677	kg/m3
formation energy from the elements	-1.04	eV per formula unit

[20]
Computed, not measured: a relaxed structure of KEuAu2 at the PBE-GGA level of DFT.

Cell lengths 7.633, 7.633, 7.633 Å; angles 90.00, 90.00, 90.00 degrees
Space group Fm-3m (No. 225)
Symmetry-distinct sites (fractional):
K (0.000, 0.000, 0.000) [4 per cell]
Eu (0.000, 0.000, 0.500) [4 per cell]
Au (0.250, 0.250, 0.250) [8 per cell]

Calculated values
raw total energy	-4.95	eV/atom
mass density	8737	kg/m3
formation energy from the elements	-1.87	eV per formula unit

[21]
Computed, not measured: a relaxed structure of KEuAu4 at the PBE-GGA level of DFT.

Cell lengths 8.220, 8.220, 8.220 Å; angles 90.00, 90.00, 90.00 degrees
Space group F-43m (No. 216)
Symmetry-distinct sites (fractional):
K (0.000, 0.000, 0.000) [4 per cell]
Eu (0.250, 0.250, 0.750) [4 per cell]
Au (0.125, 0.125, 0.375) [16 per cell]

Calculated values
raw total energy	-4.49	eV/atom
mass density	11707	kg/m3
formation energy from the elements	-2.46	eV per formula unit

[22]
Computed, not measured: a relaxed structure of KEuAu2 at the PBE-GGA level of DFT.

Cell lengths 4.3964, 4.3964, 24.0904 Å; angles 90.00, 90.00, 120.00 degrees
Space group R-3m (No. 166, hexagonal axes)
Symmetry-distinct sites (fractional):
K (0.0000, 0.0000, 0.0000) [3 per cell]
Eu (0.0000, 0.0000, 0.5000) [3 per cell]
Au (0.0000, 0.0000, 0.2391) [6 per cell]

Calculated values
raw total energy	-4.93	eV/atom
mass density	7227	kg/m3
formation energy from the elements	-1.81	eV per formula unit

[23]
Computed, not measured: a relaxed structure of KEu2Au at the PBE-GGA level of DFT.

Cell lengths 4.3823, 4.3823, 34.9515 Å; angles 90.00, 90.00, 120.00 degrees
Space group R-3m (No. 166, hexagonal axes)
Symmetry-distinct sites (fractional):
K (0.0000, 0.0000, 0.0000) [3 per cell]
Eu (0.0000, 0.0000, 0.1184) [6 per cell]
Au (0.0000, 0.0000, 0.5000) [3 per cell]

Calculated values
raw total energy	-6.53	eV/atom
mass density	4628	kg/m3
formation energy from the elements	-1.19	eV per formula unit

[24]
Computed, not measured: a relaxed structure of K2EuAu at the PBE-GGA level of DFT.

Cell lengths 4.2136, 4.2136, 37.4949 Å; angles 90.00, 90.00, 120.00 degrees
Space group R-3m (No. 166, hexagonal axes)
Symmetry-distinct sites (fractional):
K (0.0000, 0.0000, 0.1082) [6 per cell]
Eu (0.0000, 0.0000, 0.0000) [3 per cell]
Au (0.0000, 0.0000, 0.5000) [3 per cell]

Calculated values
raw total energy	-3.91	eV/atom
mass density	3691	kg/m3
formation energy from the elements	0.12	eV per formula unit

[25]
Computed, not measured: a relaxed structure of KEuAu2 at the PBE-GGA level of DFT.

Cell lengths 3.851, 3.851, 7.949 Å; angles 90.00, 90.00, 90.00 degrees
Space group P4/mmm (No. 123)
Symmetry-distinct sites (fractional):
K (0.000, 0.000, 0.000) [1 per cell]
Eu (0.000, 0.000, 0.500) [1 per cell]
Au (0.500, 0.500, 0.297) [2 per cell]

Calculated values
raw total energy	-5.04	eV/atom
mass density	8240	kg/m3
formation energy from the elements	-2.25	eV per formula unit

[26]
Computed, not measured: a relaxed structure of KEuSbAu at the PBE-GGA level of DFT.

Cell lengths 7.805, 7.805, 7.805 Å; angles 90.00, 90.00, 90.00 degrees
Space group F-43m (No. 216)
Symmetry-distinct sites (fractional):
K (0.000, 0.000, 0.000) [4 per cell]
Eu (0.000, 0.000, 0.500) [4 per cell]
Sb (0.250, 0.250, 0.750) [4 per cell]
Au (0.250, 0.250, 0.250) [4 per cell]

Calculated values
raw total energy	-5.22	eV/atom
mass density	7122	kg/m3

[27]
Computed, not measured: a relaxed structure of KEuTlAu at the PBE-GGA level of DFT.

Cell lengths 7.875, 7.875, 7.875 Å; angles 90.00, 90.00, 90.00 degrees
Space group F-43m (No. 216)
Symmetry-distinct sites (fractional):
K (0.000, 0.000, 0.000) [4 per cell]
Eu (0.000, 0.000, 0.500) [4 per cell]
Tl (0.250, 0.250, 0.250) [4 per cell]
Au (0.250, 0.250, 0.750) [4 per cell]

Calculated values
raw total energy	-4.48	eV/atom
mass density	8058	kg/m3
formation energy from the elements	-0.91	eV per formula unit

[28]
Computed, not measured: a relaxed structure of LaEu2Au at the PBE-GGA level of DFT.

Cell lengths 3.772, 3.772, 9.271 Å; angles 90.00, 90.00, 90.00 degrees
Space group P4/mmm (No. 123)
Symmetry-distinct sites (fractional):
La (0.000, 0.000, 0.000) [1 per cell]
Eu (0.500, 0.500, 0.307) [2 per cell]
Au (0.000, 0.000, 0.500) [1 per cell]

Calculated values
raw total energy	-7.54	eV/atom
mass density	8055	kg/m3
formation energy from the elements	-1.41	eV per formula unit

[29]
Computed, not measured: a relaxed structure of LaEuAu4 at the PBE-GGA level of DFT.

Cell lengths 8.196, 8.196, 8.196 Å; angles 90.00, 90.00, 90.00 degrees
Space group F-43m (No. 216)
Symmetry-distinct sites (fractional):
La (0.000, 0.000, 0.000) [4 per cell]
Eu (0.250, 0.250, 0.750) [4 per cell]
Au (0.125, 0.125, 0.375) [16 per cell]

Calculated values
raw total energy	-5.29	eV/atom
mass density	13013	kg/m3
formation energy from the elements	-3.40	eV per formula unit